Record 1
! FeMoPd4 PBE optimized geometry; values from VASP
! Energy above the most stable polymorph in this dataset = 0.774 eV per atom
! Space group = Cmmm
! Energy of formation from the pure elements = 680 meV per atom
&SYSTEM
  ibrav = 0, nat = 6, ntyp = 3
/
ATOMIC_SPECIES
Fe 55.84 Fe.upf
Mo 95.94 Mo.upf
Pd 106.42 Pd.upf
ATOMIC_POSITIONS angstrom
Fe 1.3445 0.0000 0.0000
Mo 0.0001 3.2449 3.2394
Pd 1.3446 1.6474 4.8398
Pd 0.0001 4.9792 4.9705
Pd 2.6890 1.5107 1.5083
Pd 1.3446 4.8424 1.6390
CELL_PARAMETERS angstrom
2.6890 0.0000 0.0000
0.0001 6.5389 -0.0601
0.0000 -0.0490 6.5389



Record 2
! Ce2Co15Ni2 PBE optimized geometry; values from VASP
! Space group = R-3m
! Energy of formation from the pure elements = -91 meV per atom
&SYSTEM
  ibrav = 0, nat = 19, ntyp = 3
/
ATOMIC_SPECIES
Ce 140.12 Ce.upf
Co 58.93 Co.upf
Ni 58.69 Ni.upf
ATOMIC_POSITIONS angstrom
Ce 2.6808 2.3529 2.0966
Ce 5.1544 4.5239 4.0311
Co 3.1396 -0.0185 -0.0165
Co 0.3890 0.3414 3.0968
Co 0.3890 3.1155 -0.0165
Co 0.7780 4.6493 1.7422
Co 4.7109 1.7500 -0.0330
Co 2.3464 0.4776 4.4185
Co 2.3464 4.4441 -0.0330
Co 4.7109 0.1682 1.7422
Co 0.7780 2.2646 4.4185
Co 1.9586 4.5106 4.0192
Co 4.7266 4.1484 0.8863
Co 4.7266 1.3568 4.0192
Co 5.8767 2.3663 2.1085
Co 3.1087 2.7284 5.2414
Co 3.1087 5.5200 2.1085
Ni 0.7994 0.7016 0.6252
Ni 7.0358 6.1752 5.5025
CELL_PARAMETERS angstrom
6.2793 -0.0370 -0.0330
0.7780 6.2310 -0.0330
0.7780 0.6828 6.1936



Record 3
! Nd6In2Sn PBE optimized geometry; values from VASP
! Energy above the most stable polymorph in this dataset = 0.047 eV per atom
! Space group = P4_2/mnm
! Energy of formation from the pure elements = -354 meV per atom
&SYSTEM
  ibrav = 0, nat = 18, ntyp = 3
/
ATOMIC_SPECIES
Nd 144.24 Nd.upf
In 114.82 In.upf
Sn 118.71 Sn.upf
ATOMIC_POSITIONS angstrom
Nd -1.0188 -0.9410 1.3013
Nd -7.9160 -6.4467 -1.7792
Nd -9.8093 -7.4122 1.2652
Nd -5.7821 -2.8268 3.1029
Nd -7.7725 -4.7779 5.5557
Nd -4.4340 -5.0668 -1.4027
Nd -9.8121 -10.3150 -1.0480
Nd -2.9148 -4.8093 2.0324
Nd -1.0215 -3.8438 -1.0119
Nd -5.0487 -8.4292 -2.8497
Nd -3.0583 -6.4781 -5.3025
Nd -6.3968 -6.1892 1.6559
In -4.6450 -5.9259 4.6269
In -6.7954 -9.1027 0.1334
In -4.0355 -2.1532 0.1198
In -6.1859 -5.3301 -4.3737
Sn -2.6625 -3.5604 -3.7702
Sn -2.7530 -2.0676 3.8968
CELL_PARAMETERS angstrom
-4.4495 1.7636 -2.2079
-0.8754 -8.8844 -5.3324
-5.5059 -4.1352 7.7936



Please write out number 2 again, unchanged.
! Ce2Co15Ni2 PBE optimized geometry; values from VASP
! Space group = R-3m
! Energy of formation from the pure elements = -91 meV per atom
&SYSTEM
  ibrav = 0, nat = 19, ntyp = 3
/
ATOMIC_SPECIES
Ce 140.12 Ce.upf
Co 58.93 Co.upf
Ni 58.69 Ni.upf
ATOMIC_POSITIONS angstrom
Ce 2.6808 2.3529 2.0966
Ce 5.1544 4.5239 4.0311
Co 3.1396 -0.0185 -0.0165
Co 0.3890 0.3414 3.0968
Co 0.3890 3.1155 -0.0165
Co 0.7780 4.6493 1.7422
Co 4.7109 1.7500 -0.0330
Co 2.3464 0.4776 4.4185
Co 2.3464 4.4441 -0.0330
Co 4.7109 0.1682 1.7422
Co 0.7780 2.2646 4.4185
Co 1.9586 4.5106 4.0192
Co 4.7266 4.1484 0.8863
Co 4.7266 1.3568 4.0192
Co 5.8767 2.3663 2.1085
Co 3.1087 2.7284 5.2414
Co 3.1087 5.5200 2.1085
Ni 0.7994 0.7016 0.6252
Ni 7.0358 6.1752 5.5025
CELL_PARAMETERS angstrom
6.2793 -0.0370 -0.0330
0.7780 6.2310 -0.0330
0.7780 0.6828 6.1936



Q: Look up the energy of formation from the pure elements of the third one.
A: -354 meV per atom



Q: Which of these has the highest energy of formation from the pure elements?
A: FeMoPd4



Q: Look up the energy of formation from the pure elements of the second one.
A: -91 meV per atom